No. 1
Here is Pm6CdSn after structural relaxation from Alexandria. Energies are from PBE-GGA.

abc: 4.950 4.950 9.838
angles: 90.00 90.00 90.00
Positions (direct):
1 Pm 0.500 0.500 0.000
2 Pm 0.500 0.500 0.500
3 Pm 0.500 0.000 0.247
4 Pm 0.500 0.000 0.753
5 Pm 0.000 0.500 0.247
6 Pm 0.000 0.500 0.753
7 Cd 0.000 0.000 0.500
8 Sn 0.000 0.000 0.000

SG = No. 123
DOS(E_F) = 13.90 states/eV/cell
Energy of formation = -0.277 eV/atom
VASP energy = -4.454 eV per atom

=====

No. 2
Here is LaPr2Co after structural relaxation from Alexandria. Energies are from PBE-GGA.

abc: 6.623 7.078 10.030
angles: 90.00 90.00 90.00
Positions (direct):
1 La 0.642 0.564 0.250
2 La 0.858 0.064 0.250
3 La 0.358 0.436 0.750
4 La 0.142 0.936 0.750
5 Pr 0.175 0.660 0.069
6 Pr 0.325 0.160 0.431
7 Pr 0.825 0.340 0.569
8 Pr 0.675 0.840 0.931
9 Pr 0.825 0.340 0.931
10 Pr 0.675 0.840 0.569
11 Pr 0.175 0.660 0.431
12 Pr 0.325 0.160 0.069
13 Co 0.045 0.372 0.250
14 Co 0.455 0.872 0.250
15 Co 0.955 0.628 0.750
16 Co 0.545 0.128 0.750

SG = No. 62
Relative energy among the computed polymorphs = 0.0 meV per atom
DOS(E_F) = 20.17 states/eV/cell
Energy of formation = -0.077 eV/atom
VASP energy = -5.475 eV per atom

=====

No. 3
Here is Ac2Cd4AgAu3 after structural relaxation from Alexandria. Energies are from PBE-GGA.

abc: 4.501 4.501 12.545
angles: 90.00 90.00 90.00
Positions (direct):
1 Ac 0.500 0.000 0.245
2 Ac 0.000 0.500 0.755
3 Cd 0.500 0.500 0.000
4 Cd 0.000 0.000 0.000
5 Cd 0.500 0.000 0.632
6 Cd 0.000 0.500 0.368
7 Ag 0.500 0.500 0.500
8 Au 0.000 0.000 0.500
9 Au 0.500 0.000 0.852
10 Au 0.000 0.500 0.148

SG = No. 115
DOS(E_F) = 6.59 states/eV/cell
Energy of formation = -0.428 eV/atom
VASP energy = -2.884 eV per atom

=====

No. 4
Here is TlPOs after structural relaxation from Alexandria. Energies are from PBE-GGA.

abc: 3.224 3.224 6.349
angles: 90.00 90.00 120.00
Positions (direct):
1 Tl 0.333 0.667 0.679
2 P 0.667 0.333 0.269
3 Os 0.000 0.000 0.052

SG = No. 156
Relative energy among the computed polymorphs = 57.8 meV per atom
DOS(E_F) = 2.14 states/eV/cell
Energy of formation = 0.259 eV/atom
VASP energy = -6.076 eV per atom